The following is a DFT calculation (PBE with a Hubbard U) of an optimized crystal structure of La2WBrO.

a = 4.8038 Å, b = 4.8038 Å, c = 5.9283 Å
α = 90.00°, β = 90.00°, γ = 90.00°
Positions (direct):
La  0.0000  0.5000  0.0000
La  0.5000  0.0000  0.0000
W  0.0000  0.0000  0.5000
Br  0.5000  0.5000  0.5000
O  0.5000  0.5000  0.0000

Output
**Uncorrected energy**: -5.3976 eV per atom
**Total magnetization**: 4.36 μB/f.u.